DFT (PBEsol) results for a relaxed structure of LiLa2P.

The structure in CIF format:
```
data_LiLa2P
_space_group_name_H-M_alt 'A m m 2'
_space_group_IT_number 38
_cell_length_a 4.110
_cell_length_b 4.242
_cell_length_c 11.069
_cell_angle_alpha 90.00
_cell_angle_beta 90.00
_cell_angle_gamma 90.00
loop_
_space_group_symop_operation_xyz
'x,y,z'
'-x,-y,z'
'-x,y,z'
'x,-y,z'
'x,y+1/2,z+1/2'
'-x,-y+1/2,z+1/2'
'-x,y+1/2,z+1/2'
'x,-y+1/2,z+1/2'
loop_
_atom_site_label
_atom_site_type_symbol
_atom_site_fract_x
_atom_site_fract_y
_atom_site_fract_z
_atom_site_occupancy
Li1 Li 0.000 0.000 0.000 1
La1 La 0.000 0.000 0.695 1
La2 La 0.500 0.000 0.404 1
P1 P 0.500 0.000 0.125 1
```

ΔH_f (0 K)   -276 kJ/mol of formula units
Magnetic moment   0.00 μB per formula unit



DFT (PBEsol) results for a relaxed structure of Li2La2P.

The structure in CIF format:
```
data_Li2La2P
_space_group_name_H-M_alt 'P 4/m b m'
_space_group_IT_number 127
_space_group_name_Hall '-P 4 2ab'
_cell_length_a 6.561
_cell_length_b 6.561
_cell_length_c 4.812
_cell_angle_alpha 90.00
_cell_angle_beta 90.00
_cell_angle_gamma 90.00
loop_
_atom_site_label
_atom_site_type_symbol
_atom_site_fract_x
_atom_site_fract_y
_atom_site_fract_z
_atom_site_occupancy
Li1 Li 0.145 0.355 0.000 1
La1 La 0.175 0.675 0.500 1
P1 P 0.000 0.000 0.000 1
```

ΔH_f (0 K)   -178 kJ/mol of formula units
Magnetic moment   0.00 μB per formula unit



DFT (PBEsol) results for a relaxed structure of LiLaP.

The structure in CIF format:
```
data_LiLaP
_space_group_name_H-M_alt 'P -6 m 2'
_space_group_IT_number 187
_space_group_name_Hall 'P -6 2'
_cell_length_a 4.1499
_cell_length_b 4.1499
_cell_length_c 4.0818
_cell_angle_alpha 90.00
_cell_angle_beta 90.00
_cell_angle_gamma 120.00
loop_
_atom_site_label
_atom_site_type_symbol
_atom_site_fract_x
_atom_site_fract_y
_atom_site_fract_z
_atom_site_occupancy
Li1 Li 0.0000 0.0000 0.0000 1
La1 La 0.6667 0.3333 0.5000 1
P1 P 0.3333 0.6667 0.0000 1
```

ΔH_f (0 K)   -301 kJ/mol of formula units
Magnetic moment   0.84 μB per formula unit